(1)
{"formula": "Fe2SnRuN", "functional": "PBE-GGA", "state": "relaxed", "space_group": "P4/mmm", "density_g_cm3": 9.132, "n_ef_per_ev_fu": 5.31, "dft_energy_ev_per_atom": -7.66, "lattice": [[-3.652, 1.302, -0.235], [-1.320, -3.631, 0.404], [-0.091, 0.492, 4.133]], "species": ["Sn", "Ru", "N", "Fe", "Fe"], "fractional_positions": [[0.500, 0.500, 0.500], [0.000, 0.000, 0.500], [0.000, 0.000, 0.000], [0.500, 0.000, 0.000], [0.000, 0.500, 0.000]]}



(2)
{"formula": "Ta2FeRuN", "functional": "PBE-GGA", "state": "relaxed", "space_group": "P4/mmm", "density_g_cm3": 13.174, "n_ef_per_ev_fu": 5.06, "dft_energy_ev_per_atom": -10.40, "lattice": [[-1.143, 4.056, 0.497], [-4.086, -1.141, -0.085], [0.046, -0.441, 3.704]], "species": ["Ta", "Ta", "Fe", "Ru", "N"], "fractional_positions": [[0.000, 0.500, 0.000], [0.500, 0.000, 0.000], [0.000, 0.000, 0.500], [0.500, 0.500, 0.500], [0.000, 0.000, 0.000]]}



(3)
{"formula": "Ti2FeRuN", "functional": "PBE-GGA", "state": "relaxed", "space_group": "P4/mmm", "density_g_cm3": 5.310, "n_ef_per_ev_fu": 6.49, "dft_energy_ev_per_atom": -7.01, "lattice": [[4.417, 0.000, 0.000], [0.000, 4.274, 0.000], [0.000, 0.000, 4.417]], "species": ["Ti", "Ru", "Fe", "Ti", "N"], "fractional_positions": [[0.500, 0.000, 0.000], [0.000, 0.500, 0.000], [0.000, 0.000, 0.000], [0.000, 0.000, 0.500], [0.500, 0.500, 0.500]]}



(4)
{"formula": "VFe2RuN", "functional": "PBE-GGA", "state": "relaxed", "space_group": "P4/mmm", "density_g_cm3": 8.227, "n_ef_per_ev_fu": 5.22, "dft_energy_ev_per_atom": -8.92, "lattice": [[3.785, 0.000, 0.000], [0.000, 3.785, 0.000], [0.000, 0.000, 3.913]], "species": ["Fe", "Ru", "V", "Fe", "N"], "fractional_positions": [[0.500, 0.000, 0.000], [0.500, 0.500, 0.500], [0.000, 0.000, 0.500], [0.000, 0.500, 0.000], [0.000, 0.000, 0.000]]}



(5)
{"formula": "V2FeRuN", "functional": "PBE-GGA", "state": "relaxed", "space_group": "P4/mmm", "density_g_cm3": 7.944, "n_ef_per_ev_fu": 4.72, "dft_energy_ev_per_atom": -9.28, "lattice": [[-0.565, -3.401, -1.881], [3.884, -0.562, -0.152], [-0.129, -1.771, 3.243]], "species": ["Ru", "V", "N", "Fe", "V"], "fractional_positions": [[0.500, 0.500, 0.500], [0.500, 0.000, 0.000], [0.000, 0.000, 0.000], [0.000, 0.000, 0.500], [0.000, 0.500, 0.000]]}



(6)
{"formula": "YFeRuN2", "functional": "PBE-GGA", "state": "relaxed", "space_group": "P4/mmm", "density_g_cm3": 5.316, "n_ef_per_ev_fu": 5.24, "dft_energy_ev_per_atom": -7.13, "lattice": [[3.859, 0.000, 0.000], [0.000, 5.743, 0.000], [0.000, 0.000, 3.859]], "species": ["N", "Ru", "Y", "Fe", "N"], "fractional_positions": [[0.500, 0.000, 0.000], [0.000, 0.000, 0.000], [0.000, 0.500, 0.000], [0.500, 0.500, 0.500], [0.000, 0.000, 0.500]]}



no.,uncorrected formation energy (eV per atom)
1,0.049
2,-0.449
3,1.358
4,-0.190
5,-0.417
6,1.037